Record 1
Computed, not measured: an optimized crystal structure of CsAgHg2Ge at the PBE-GGA level of DFT.

abc: 5.809 5.809 5.067
angles: 90.00 90.00 90.00
Space group P4/mmm (No. 123)
Inequivalent atoms, fractional coordinates:
Cs (0.000, 0.000, 0.000) x1
Ag (0.500, 0.500, 0.000) x1
Hg (0.000, 0.500, 0.500) x2
Ge (0.500, 0.500, 0.500) x1

Results
Total magnetization ... 0.00 μB per cell
Final energy ... -0.1327 Ry/atom
ΔH_f (0 K) ... -0.020 eV/atom



Record 2
Computed, not measured: an optimized crystal structure of RePt2Se at the PBE-GGA level of DFT.

abc: 2.8802 2.8802 26.9789
angles: 90.00 90.00 120.00
Space group R-3m (No. 166, hexagonal axes)
Inequivalent atoms, fractional coordinates:
Re (0.0000, 0.0000, 0.0000) x3
Pt (0.0000, 0.0000, 0.2530) x6
Se (0.0000, 0.0000, 0.5000) x3

Results
Uncorrected formation energy ... 0.211 eV per atom
Total magnetization ... 0.00 μB per cell
Final energy ... -0.4992 Ry/atom



Record 3
Computed, not measured: an optimized crystal structure of Tl3Zn4 at the PBE-GGA level of DFT.

abc: 6.5030 6.5030 4.8631
angles: 90.00 90.00 120.00
Space group P6/mmm (No. 191)
Inequivalent atoms, fractional coordinates:
Tl (0.0000, 0.5000, 0.0000) x3
Zn (0.0000, 0.0000, 0.2530) x2
Zn (0.3333, 0.6667, 0.5000) x2

Results
Total magnetization ... 0.00 μB per cell
Final energy ... -0.1062 Ry/atom
Excess energy over the best structure of this formula in the dataset ... 165 meV per atom
ΔH_f (0 K) ... 0.297 eV/atom



Record 4
Computed, not measured: an optimized crystal structure of CdTe4Cl at the PBE-GGA level of DFT.

abc: 8.962 8.962 8.962
angles: 90.00 90.00 90.00
Space group F-43m (No. 216)
Inequivalent atoms, fractional coordinates:
Cd (0.000, 0.000, 0.000) x4
Te (0.125, 0.125, 0.375) x16
Cl (0.250, 0.250, 0.750) x4

Results
Uncorrected formation energy ... 0.195 eV per atom
Total magnetization ... 0.00 μB per cell
Final energy ... -0.1734 Ry/atom



Record 5
Computed, not measured: an optimized crystal structure of ZrHgW2 at the PBE-GGA level of DFT.

abc: 7.657 7.657 5.550
angles: 90.00 90.00 90.00
Space group I-42d (No. 122)
Inequivalent atoms, fractional coordinates:
Zr (0.000, 0.000, 0.000) x4
Hg (0.000, 0.000, 0.500) x4
W (0.241, 0.250, 0.625) x8

Results
Total magnetization ... 0.00 μB per cell
Final energy ... -0.5513 Ry/atom
ΔH_f (0 K) ... 1.188 eV/atom



Record 6
Computed, not measured: an optimized crystal structure of YSbPbN2 at the PBE-GGA level of DFT.

abc: 4.454 4.454 6.203
angles: 90.00 90.00 90.00
Space group P4/mmm (No. 123)
Inequivalent atoms, fractional coordinates:
Y (0.000, 0.000, 0.000) x1
Sb (0.000, 0.000, 0.500) x1
Pb (0.500, 0.500, 0.500) x1
N (0.000, 0.500, 0.000) x2

Results
Uncorrected formation energy ... 0.778 eV per atom
Total magnetization ... 0.00 μB per cell
Final energy ... -0.3977 Ry/atom